# Ce3DyZr2As6 | the Alexandria database | PBE | optimized geometry
# - Crystal system: monoclinic
# - Electronic total energy: -167.33 eV for the cell shown
# - ΔE_f: -1.355 eV/atom
data_Ce3DyZr2As6
_chemical_formula_sum 'Ce6 Dy2 Zr4 As12'
_cell_length_a 7.048
_cell_length_b 12.208
_cell_length_c 7.060
_cell_angle_alpha 90.00
_cell_angle_beta 109.46
_cell_angle_gamma 90.00
_symmetry_space_group_name_H-M 'C 1 2/m 1'
_symmetry_Int_Tables_number 12
_symmetry_space_group_name_Hall '-C 2y'
loop_
_atom_site_label
_atom_site_fract_x
_atom_site_fract_y
_atom_site_fract_z
_atom_site_occupancy
Ce1 0.000 0.000 0.000 1
Ce2 0.000 0.336 0.000 1
Dy1 0.000 0.500 0.500 1
Zr1 0.000 0.167 0.500 1
As1 0.237 0.000 0.733 1
As2 0.249 0.330 0.736 1